Entry 1:
PuTl3Pd7 | the Alexandria database | PBE-GGA | relaxed; ΔE_f = -0.131 eV/atom; calculated total energy = -59.22 eV per cell; magnetization = 0.44 μB per atom; symmetry = No. 12
1.0
-3.1496 -4.5942 -0.7473
5.7803 1.5267 -4.4422
5.2410 0.3145 5.2830
Pd Tl Pu
7 3 1
direct
0.6711 0.9314 0.4149
0.0000 0.5000 0.5000
0.6436 0.7984 0.7984
0.3289 0.0686 0.5851
0.3289 0.5851 0.0686
0.6711 0.4149 0.9314
0.3564 0.2016 0.2016
0.5000 0.0000 0.0000
0.0000 0.2259 0.7741
0.0000 0.7741 0.2259
0.5000 0.5000 0.5000


Entry 2:
PuTlPd2 | the Alexandria database | PBE-GGA | relaxed; ΔE_f = -0.362 eV/atom; calculated total energy = -57.06 eV per cell; magnetization = 1.34 μB per atom; symmetry = No. 51
1.0
4.2927 0.0000 0.0000
0.0000 5.6282 0.0000
0.0000 0.0000 7.2715
Tl Pd Pu
2 4 2
direct
0.5000 0.7500 0.6125
0.5000 0.2500 0.3875
0.0000 0.7500 0.8506
0.0000 0.2500 0.1494
0.5000 0.5000 0.0000
0.5000 0.0000 0.0000
0.0000 0.7500 0.2511
0.0000 0.2500 0.7489


Entry 3:
PuTl4Pd15 | the Alexandria database | PBE-GGA | relaxed; ΔE_f = -0.268 eV/atom; calculated total energy = -107.04 eV per cell; magnetization = 0.21 μB per atom; symmetry = No. 123
1.0
4.1004 0.0000 0.0000
0.0000 4.1004 0.0000
0.0000 0.0000 20.4577
Pd Tl Pu
15 4 1
direct
0.5000 0.0000 0.3015
0.0000 0.5000 0.0999
0.5000 0.5000 0.2002
0.5000 0.0000 0.6985
0.0000 0.5000 0.9001
0.5000 0.5000 0.4007
0.5000 0.0000 0.0999
0.0000 0.5000 0.3015
0.0000 0.5000 0.5000
0.5000 0.5000 0.5993
0.5000 0.0000 0.9001
0.5000 0.0000 0.5000
0.5000 0.5000 0.7998
0.0000 0.5000 0.6985
0.5000 0.5000 0.0000
0.0000 0.0000 0.7964
0.0000 0.0000 0.5992
0.0000 0.0000 0.4008
0.0000 0.0000 0.2036
0.0000 0.0000 0.0000


Entry 4:
PuTl2Pd9 | the Alexandria database | PBE-GGA | relaxed; ΔE_f = -0.326 eV/atom; calculated total energy = -69.71 eV per cell; magnetization = 0.35 μB per atom; symmetry = No. 123
1.0
4.1093 0.0000 0.0000
0.0000 4.1093 0.0000
0.0000 0.0000 12.3057
Pd Pu Tl
9 1 2
direct
0.5000 0.5000 0.3323
0.0000 0.5000 0.8343
0.5000 0.5000 0.6677
0.5000 0.0000 0.8343
0.0000 0.5000 0.1657
0.5000 0.0000 0.1657
0.0000 0.5000 0.5000
0.5000 0.0000 0.5000
0.5000 0.5000 0.0000
0.0000 0.0000 0.0000
0.0000 0.0000 0.6625
0.0000 0.0000 0.3375


Entry 5:
PuTl2Pd | the Alexandria database | PBE-GGA | relaxed; ΔE_f = 0.166 eV/atom; calculated total energy = -23.59 eV per cell; magnetization = 1.52 μB per atom; symmetry = No. 166
1.0
3.2872 0.0000 0.0000
1.6436 2.8468 0.0000
1.6436 0.9489 10.8508
Pu Tl Pd
1 2 1
direct
0.0000 0.0000 0.0000
0.0992 0.0992 0.7023
0.9008 0.9008 0.2977
0.5000 0.5000 0.5000


Entry 6:
PuTl2Pd | the Alexandria database | PBE-GGA | relaxed; ΔE_f = -0.012 eV/atom; calculated total energy = -24.30 eV per cell; magnetization = 1.52 μB per atom; symmetry = No. 160
1.0
3.4264 0.0000 0.0000
1.7132 2.9674 0.0000
1.7132 0.9891 9.5374
Tl Pu Pd
2 1 1
direct
0.2618 0.2618 0.2145
0.0714 0.0714 0.7857
0.4996 0.4996 0.5012
0.6671 0.6671 0.9987


Entry 7:
PuTl2Pd | the Alexandria database | PBE-GGA | relaxed; ΔE_f = -0.057 eV/atom; calculated total energy = -24.48 eV per cell; magnetization = 1.47 μB per atom; symmetry = No. 123
1.0
5.0052 0.0000 0.0000
0.0000 4.4279 0.0000
0.0000 0.0000 4.4279
Pd Pu Tl
1 1 2
direct
0.5000 0.0000 0.0000
0.5000 0.5000 0.5000
0.0000 0.0000 0.5000
0.0000 0.5000 0.0000


Entry 8:
Pu3TlPd2 | the Alexandria database | PBE-GGA | relaxed; ΔE_f = -0.260 eV/atom; distance to the lowest polymorph of the same formula = 0.000 eV per atom; calculated total energy = -57.30 eV per cell; magnetization = 0.93 μB per atom; symmetry = No. 123
1.0
3.3201 0.0000 0.0000
0.0000 3.3201 0.0000
0.0000 0.0000 12.6463
Pu Pd Tl
3 2 1
direct
0.0000 0.0000 0.3071
0.0000 0.0000 0.6929
0.0000 0.0000 0.0000
0.5000 0.5000 0.1533
0.5000 0.5000 0.8467
0.5000 0.5000 0.5000


Entry 9:
PuTlPd2 | the Alexandria database | PBE-GGA | relaxed; ΔE_f = -0.250 eV/atom; calculated total energy = -28.09 eV per cell; magnetization = 1.39 μB per atom; symmetry = No. 123
1.0
3.4848 0.0000 0.0000
0.0000 3.4848 0.0000
0.0000 0.0000 6.8587
Pd Tl Pu
2 1 1
direct
0.0000 0.0000 0.2358
0.0000 0.0000 0.7642
0.5000 0.5000 0.0000
0.5000 0.5000 0.5000


Entry 10:
Pu6TlPd6 | the Alexandria database | PBE-GGA | relaxed; ΔE_f = -0.267 eV/atom; calculated total energy = -122.99 eV per cell; magnetization = 0.87 μB per atom; symmetry = No. 71
1.0
-1.7863 5.2533 -1.7973
-7.0088 1.7123 2.5071
2.2287 5.6006 4.6912
Pd Pu Tl
6 6 1
direct
0.5000 0.5000 0.0000
0.5000 0.2482 0.7518
0.5000 0.0000 0.5000
0.5000 0.7518 0.2482
0.0000 0.0000 0.5000
0.0000 0.5000 0.0000
0.3296 0.1704 0.1704
0.6606 0.3394 0.3394
0.0000 0.3283 0.6717
0.0000 0.6717 0.3283
0.3394 0.6606 0.6606
0.6704 0.8296 0.8296
0.0000 0.0000 0.0000


Entry 11:
PuTlPd3 | the Alexandria database | PBE-GGA | relaxed; ΔE_f = -0.317 eV/atom; calculated total energy = -67.72 eV per cell; magnetization = 1.06 μB per atom; symmetry = No. 12
1.0
-2.8280 -3.0828 -1.5345
-2.5241 -2.9142 4.0366
-8.4065 4.1689 0.6476
Pd Tl Pu
6 2 2
direct
0.3681 0.1562 0.1076
0.6319 0.8438 0.8924
0.2175 0.8466 0.7184
0.7825 0.1534 0.2816
0.1225 0.3747 0.3804
0.8775 0.6253 0.6196
0.9050 0.2860 0.9040
0.0950 0.7140 0.0960
0.4122 0.7843 0.3913
0.5878 0.2157 0.6087


Entry 12:
PuTlPd4 | the Alexandria database | PBE-GGA | relaxed; ΔE_f = -0.404 eV/atom; calculated total energy = -39.89 eV per cell; magnetization = 0.88 μB per atom; symmetry = No. 216
1.0
5.4314 0.0000 0.0000
2.7157 4.7037 0.0000
2.7157 1.5679 4.4347
Pd Pu Tl
4 1 1
direct
0.6252 0.6252 0.1245
0.1245 0.6252 0.6252
0.6252 0.1245 0.6252
0.6252 0.6252 0.6252
0.2500 0.2500 0.2500
0.0000 0.0000 0.0000


Entry 13:
PuTlPd6 | the Alexandria database | PBE-GGA | relaxed; ΔE_f = -0.354 eV/atom; calculated total energy = -50.69 eV per cell; magnetization = 0.61 μB per atom; symmetry = No. 187
1.0
-0.1867 0.1765 -4.6981
-4.4723 -3.7863 0.0355
-1.0370 5.7617 0.2577
Tl Pu Pd
1 1 6
direct
0.5000 0.4166 0.5834
0.0000 0.0833 0.9167
0.0000 0.5864 0.4136
0.5000 0.9127 0.0873
0.5000 0.9127 0.5754
0.0000 0.5864 0.9229
0.5000 0.4246 0.0873
0.0000 0.0771 0.4136


Entry 14:
Pu2Tl8Pd | the Alexandria database | PBE-GGA | relaxed; ΔE_f = -0.075 eV/atom; calculated total energy = -53.61 eV per cell; magnetization = 1.06 μB per atom; symmetry = No. 123
1.0
4.8441 0.0000 0.0000
0.0000 4.8441 0.0000
0.0000 0.0000 12.5200
Pd Pu Tl
1 2 8
direct
0.0000 0.0000 0.0000
0.0000 0.0000 0.3082
0.0000 0.0000 0.6918
0.5000 0.0000 0.8733
0.0000 0.5000 0.1267
0.5000 0.5000 0.6872
0.5000 0.5000 0.3128
0.5000 0.0000 0.5000
0.0000 0.5000 0.8733
0.5000 0.0000 0.1267
0.0000 0.5000 0.5000


Entry 15:
Pu3TlPd2 | the Alexandria database | PBE-GGA | relaxed; ΔE_f = 0.396 eV/atom; distance to the lowest polymorph of the same formula = 0.656 eV per atom; calculated total energy = -106.74 eV per cell; magnetization = 0.64 μB per atom; symmetry = No. 167
1.0
-7.2635 3.5733 -2.7739
-8.3751 -1.4574 0.9773
-6.6188 4.1051 3.5441
Pu Pd Tl
6 4 2
direct
0.9640 0.7500 0.5360
0.5360 0.9640 0.7500
0.2500 0.4640 0.0360
0.4640 0.0360 0.2500
0.0360 0.2500 0.4640
0.7500 0.5360 0.9640
0.6283 0.6283 0.6283
0.1283 0.1283 0.1283
0.3717 0.3717 0.3717
0.8717 0.8717 0.8717
0.0000 0.0000 0.0000
0.5000 0.5000 0.5000


Entry 16:
Pu3TlPd4 | the Alexandria database | PBE-GGA | relaxed; ΔE_f = -0.248 eV/atom; calculated total energy = -68.12 eV per cell; magnetization = 2.13 μB per atom; symmetry = No. 44
1.0
-4.3876 -3.1049 3.6955
3.9318 -2.8999 -4.3219
5.7152 2.4077 2.0217
Tl Pu Pd
1 3 4
direct
0.1925 0.5000 0.6925
0.6171 0.2895 0.9066
0.8325 0.0000 0.8325
0.6171 0.7105 0.3276
0.1226 0.2237 0.3463
0.5451 0.2218 0.3233
0.1226 0.7763 0.8989
0.1015 0.7782 0.3233


Entry 17:
PuTlPd2 | the Alexandria database | PBE-GGA | relaxed; ΔE_f = -0.242 eV/atom; calculated total energy = -56.10 eV per cell; magnetization = 1.37 μB per atom; symmetry = No. 63
1.0
-2.1549 -1.3822 -2.9328
-3.8022 -0.5626 5.6426
-2.5581 6.3107 -1.0945
Pd Pu Tl
4 2 2
direct
0.3959 0.7918 0.5485
0.3959 0.7918 0.9515
0.6041 0.2082 0.0485
0.6041 0.2082 0.4515
0.2365 0.4731 0.2500
0.7635 0.5269 0.7500
0.0423 0.0847 0.7500
0.9577 0.9153 0.2500


Entry 18:
PuTlPd14 | the Alexandria database | PBE-GGA | relaxed; ΔE_f = -0.185 eV/atom; calculated total energy = -92.36 eV per cell; magnetization = 0.22 μB per atom; symmetry = No. 123
1.0
-4.3002 -1.5265 3.5422
-3.3452 -1.1651 -4.5630
2.6098 -7.4044 -0.0227
Pd Tl Pu
14 1 1
direct
0.8750 0.8750 0.0000
0.3750 0.8750 0.5000
0.8750 0.3750 0.5000
0.1261 0.6239 0.2441
0.6239 0.1261 0.7559
0.1261 0.1261 0.7559
0.6239 0.1261 0.2441
0.6239 0.6239 0.7559
0.8750 0.3750 0.0000
0.1261 0.6239 0.7559
0.6239 0.6239 0.2441
0.3750 0.3750 0.0000
0.1261 0.1261 0.2441
0.3750 0.8750 0.0000
0.8750 0.8750 0.5000
0.3750 0.3750 0.5000


Entry 19:
PuTl2Pd | the Alexandria database | PBE-GGA | relaxed; ΔE_f = -0.183 eV/atom; calculated total energy = -49.98 eV per cell; magnetization = 1.43 μB per atom; symmetry = No. 139
1.0
4.6582 0.0000 -1.2919
-0.3583 4.6444 -1.2919
-0.0007 -0.0007 9.0415
Tl Pd Pu
4 2 2
direct
0.0000 0.5000 0.0000
0.5000 0.0000 0.0000
0.6476 0.6476 0.2952
0.3524 0.3524 0.7048
0.2500 0.7500 0.5000
0.7500 0.2500 0.5000
0.8569 0.8569 0.7138
0.1431 0.1431 0.2862


Entry 20:
Pu2TlPd4 | the Alexandria database | PBE-GGA | relaxed; ΔE_f = -0.208 eV/atom; calculated total energy = -53.25 eV per cell; magnetization = 1.59 μB per atom; symmetry = No. 65
1.0
4.4041 0.0000 0.0000
0.0000 4.4409 0.0000
0.0000 -2.2205 8.5579
Tl Pd Pu
1 4 2
direct
0.0000 0.5000 0.0000
0.5000 0.5877 0.1754
0.0000 0.6914 0.3828
0.0000 0.3086 0.6172
0.5000 0.4123 0.8246
0.5000 0.1836 0.3673
0.5000 0.8164 0.6327


Entry 21:
Pu2TlPd9 | the Alexandria database | PBE-GGA | relaxed; ΔE_f = -0.449 eV/atom; calculated total energy = -83.16 eV per cell; magnetization = 0.75 μB per atom; symmetry = No. 123
1.0
4.1338 0.0000 0.0000
0.0000 4.1338 0.0000
0.0000 0.0000 12.3518
Pd Pu Tl
9 2 1
direct
0.0000 0.5000 0.1670
0.0000 0.5000 0.5000
0.5000 0.0000 0.1670
0.5000 0.5000 0.0000
0.0000 0.5000 0.8330
0.5000 0.0000 0.5000
0.5000 0.5000 0.3324
0.5000 0.0000 0.8330
0.5000 0.5000 0.6676
0.0000 0.0000 0.3305
0.0000 0.0000 0.6695
0.0000 0.0000 0.0000


Entry 22:
Pu2TlPd6 | the Alexandria database | PBE-GGA | relaxed; ΔE_f = -0.365 eV/atom; calculated total energy = -65.47 eV per cell; magnetization = 1.15 μB per atom; symmetry = No. 164
1.0
6.2332 -0.0278 -0.0161
0.0284 5.7666 0.0059
0.0284 2.8781 4.9970
Pd Pu Tl
6 2 1
direct
0.6718 0.1760 0.6481
0.6711 0.1759 0.1759
0.3282 0.8240 0.3519
0.3289 0.8241 0.8241
0.6718 0.6481 0.1760
0.3282 0.3519 0.8240
0.7956 0.6667 0.6667
0.2044 0.3333 0.3333
0.0000 0.0000 0.0000


Entry 23:
Tm2PuPd3 | the Alexandria database | PBE-GGA | relaxed; ΔE_f = -0.766 eV/atom; calculated total energy = -43.45 eV per cell; magnetization = 0.98 μB per atom; symmetry = No. 123
1.0
3.4271 0.0000 0.0000
0.0000 3.4271 0.0000
0.0000 0.0000 10.7762
Pu Pd Tm
1 3 2
direct
0.5000 0.5000 0.5000
0.0000 0.0000 0.0000
0.0000 0.0000 0.6853
0.0000 0.0000 0.3147
0.5000 0.5000 0.8356
0.5000 0.5000 0.1644